The following is a DFT calculation (PBE) of crystalline La12PmNd6 at its relaxed geometry.

Output
ΔE to the lowest computed polymorph   90.2 meV/atom
ΔE_f   2.0 eV/f.u.
VASP energy   -90.5 eV/cell
Space group   R-3

Cell: 8.8715 8.8715 8.8715 Å, 89.17 89.17 89.17°
With the nearest neighbours (Å) after each atom.
Fractional positions:
La 0.3617 0.0190 0.1928  4 La 3.56-3.72, 4 Nd 3.62-3.81, 1 Pm 3.67
La 0.6383 0.9810 0.8072  4 La 3.56-3.72, 4 Nd 3.62-3.81, 1 Pm 3.67
La 0.7819 0.5352 0.4312  4 La 3.42-3.72, 3 Nd 3.47-3.58
La 0.8072 0.6383 0.9810  4 La 3.56-3.72, 4 Nd 3.62-3.81, 1 Pm 3.67
La 0.5352 0.4312 0.7819  4 La 3.42-3.72, 3 Nd 3.47-3.58
La 0.0190 0.1928 0.3617  4 La 3.56-3.72, 4 Nd 3.62-3.81, 1 Pm 3.67
La 0.1928 0.3617 0.0190  4 La 3.56-3.72, 4 Nd 3.62-3.81, 1 Pm 3.67
La 0.5688 0.2181 0.4648  4 La 3.42-3.72, 3 Nd 3.47-3.58
La 0.2181 0.4648 0.5688  4 La 3.42-3.72, 3 Nd 3.47-3.58
La 0.4648 0.5688 0.2181  4 La 3.42-3.72, 3 Nd 3.47-3.58
La 0.9810 0.8072 0.6383  4 La 3.56-3.72, 4 Nd 3.62-3.81, 1 Pm 3.67
La 0.4312 0.7819 0.5352  4 La 3.42-3.72, 3 Nd 3.47-3.58
Pm 0.0000 0.0000 0.0000  6 Nd 3.60, 6 La 3.67
Nd 0.7016 0.2615 0.0975  7 La 3.47-3.81, 1 Pm 3.60, 2 Nd 3.64
Nd 0.9025 0.2984 0.7385  7 La 3.47-3.81, 1 Pm 3.60, 2 Nd 3.64
Nd 0.7385 0.9025 0.2984  7 La 3.47-3.81, 1 Pm 3.60, 2 Nd 3.64
Nd 0.0975 0.7016 0.2615  7 La 3.47-3.81, 1 Pm 3.60, 2 Nd 3.64
Nd 0.2984 0.7385 0.9025  7 La 3.47-3.81, 1 Pm 3.60, 2 Nd 3.64
Nd 0.2615 0.0975 0.7016  7 La 3.47-3.81, 1 Pm 3.60, 2 Nd 3.64